First-principles (PBE) data for a geometry-optimized PIrW2 structure, as listed in Alexandria.

Geometry as CIF:
```
data_PIrW2
_chemical_formula_sum 'P2 Ir2 W4'
_cell_length_a 9.232
_cell_length_b 2.947
_cell_length_c 4.473
_cell_angle_alpha 90.00
_cell_angle_beta 94.18
_cell_angle_gamma 90.00
_symmetry_space_group_name_H-M 'C 1 2/m 1'
_symmetry_Int_Tables_number 12
loop_
_symmetry_equiv_pos_as_xyz
'x,y,z'
'-x,-y,-z'
'-x,y,-z'
'x,-y,z'
'x+1/2,y+1/2,z'
'-x+1/2,-y+1/2,-z'
'-x+1/2,y+1/2,-z'
'x+1/2,-y+1/2,z'
loop_
_atom_site_label
_atom_site_type_symbol
_atom_site_fract_x
_atom_site_fract_y
_atom_site_fract_z
P1 P 0.000 0.000 0.000
Ir1 Ir 0.000 0.500 0.500
W1 W 0.236 0.000 0.744
```

## Properties
* ΔH_f (0 K): 154 meV/atom
* total magnetization: 0.00 μB/f.u.
* E_tot: -79.12 eV for the cell shown
* V: 121 Å³ per cell

---

First-principles (PBE) data for a geometry-optimized Sm2Ho8Tl structure, as listed in Alexandria.

Geometry as CIF:
```
data_Sm2Ho8Tl
_chemical_formula_sum 'Sm4 Ho16 Tl2'
_cell_length_a 19.389
_cell_length_b 5.538
_cell_length_c 6.435
_cell_angle_alpha 90.00
_cell_angle_beta 95.27
_cell_angle_gamma 90.00
_symmetry_space_group_name_H-M 'C 1 2/m 1'
_symmetry_Int_Tables_number 12
loop_
_symmetry_equiv_pos_as_xyz
'x,y,z'
'-x,-y,-z'
'-x,y,-z'
'x,-y,z'
'x+1/2,y+1/2,z'
'-x+1/2,-y+1/2,-z'
'-x+1/2,y+1/2,-z'
'x+1/2,-y+1/2,z'
loop_
_atom_site_label
_atom_site_type_symbol
_atom_site_fract_x
_atom_site_fract_y
_atom_site_fract_z
Sm1 Sm 0.244 0.000 0.334
Ho1 Ho 0.044 0.000 0.270
Ho2 Ho 0.078 0.500 0.599
Ho3 Ho 0.153 0.000 0.807
Ho4 Ho 0.161 0.500 0.124
Tl1 Tl 0.000 0.500 0.000
```

## Properties
* ΔH_f (0 K): -25 meV/atom
* total magnetization: 0.00 μB/f.u.
* E_tot: -97.40 eV for the cell shown
* V: 688 Å³ per cell
* energy relative to the lowest polymorph listed for this composition: 6.3 meV/atom